# 1
{
  "formula": "SrHg7Bi2",
  "functional": "PBE",
  "state": "optimized geometry",
  "cell": [[3.1111, -12.9251, 0.0000], [3.1111, 12.9251, 0.0000], [0.0000, 0.0000, 3.5965]],
  "species": ["Sr", "Hg", "Hg", "Hg", "Hg", "Hg", "Hg", "Hg", "Bi", "Bi"],
  "frac_coords": [[0.0000, 0.0000, 0.0000], [0.1394, 0.3400, 0.5000], [0.3237, 0.6763, 0.0000], [0.3400, 0.1394, 0.5000], [0.5000, 0.5000, 0.5000], [0.6600, 0.8606, 0.5000], [0.6763, 0.3237, 0.0000], [0.8606, 0.6600, 0.5000], [0.2217, 0.7783, 0.5000], [0.7783, 0.2217, 0.5000]],
  "formation_energy_mev_per_atom": -93,
  "crystal_system": "orthorhombic",
  "space_group": "Cmmm"
}

# 2
{
  "formula": "Sr4HgBi",
  "functional": "PBE",
  "state": "optimized geometry",
  "cell": [[9.0168, 0.0000, 0.0000], [0.0000, 5.0371, 0.0000], [0.0000, 0.0000, 20.8193]],
  "species": ["Sr", "Sr", "Sr", "Sr", "Sr", "Sr", "Sr", "Sr", "Sr", "Sr", "Sr", "Sr", "Sr", "Sr", "Sr", "Sr", "Hg", "Hg", "Hg", "Hg", "Bi", "Bi", "Bi", "Bi"],
  "frac_coords": [[0.0161, 0.2500, 0.0686], [0.0299, 0.2500, 0.7782], [0.1335, 0.2500, 0.3497], [0.1412, 0.2500, 0.5602], [0.3588, 0.7500, 0.0602], [0.3665, 0.7500, 0.8497], [0.4701, 0.7500, 0.2782], [0.4839, 0.7500, 0.5686], [0.5161, 0.2500, 0.4314], [0.5299, 0.2500, 0.7218], [0.6335, 0.2500, 0.1503], [0.6412, 0.2500, 0.9398], [0.8588, 0.7500, 0.4398], [0.8665, 0.7500, 0.6503], [0.9701, 0.7500, 0.2218], [0.9839, 0.7500, 0.9314], [0.2424, 0.2500, 0.9397], [0.2576, 0.7500, 0.4397], [0.7424, 0.2500, 0.5603], [0.7576, 0.7500, 0.0603], [0.2359, 0.7500, 0.6918], [0.2641, 0.2500, 0.1918], [0.7359, 0.7500, 0.8082], [0.7641, 0.2500, 0.3082]],
  "polymorph_energy_kj_per_mol_atoms": 0.0,
  "formation_energy_mev_per_atom": -559,
  "crystal_system": "orthorhombic",
  "space_group": "Pnma"
}

# 3
{
  "formula": "SrHg3Bi3",
  "functional": "PBE",
  "state": "optimized geometry",
  "cell": [[8.2490, 0.0000, 0.0000], [0.0000, 8.2490, 0.0000], [0.0000, 0.0000, 8.2490]],
  "species": ["Sr", "Sr", "Hg", "Hg", "Hg", "Hg", "Hg", "Hg", "Bi", "Bi", "Bi", "Bi", "Bi", "Bi"],
  "frac_coords": [[0.0000, 0.0000, 0.0000], [0.5000, 0.5000, 0.5000], [0.0000, 0.2500, 0.5000], [0.0000, 0.7500, 0.5000], [0.2500, 0.5000, 0.0000], [0.5000, 0.0000, 0.2500], [0.5000, 0.0000, 0.7500], [0.7500, 0.5000, 0.0000], [0.0000, 0.5000, 0.2500], [0.0000, 0.5000, 0.7500], [0.2500, 0.0000, 0.5000], [0.5000, 0.2500, 0.0000], [0.5000, 0.7500, 0.0000], [0.7500, 0.0000, 0.5000]],
  "formation_energy_mev_per_atom": 85,
  "crystal_system": "cubic",
  "space_group": "Pm-3n"
}